(1)
DFT (PBE) results for crystalline Sr2Ga2Au5 at its relaxed geometry.

The structure in CIF format:
```
data_Sr2Ga2Au5
_symmetry_space_group_name_H-M 'P 4/m m m'
_symmetry_Int_Tables_number 123
_symmetry_space_group_name_Hall '-P 4 2'
_cell_length_a 4.799
_cell_length_b 4.799
_cell_length_c 8.847
_cell_angle_alpha 90.00
_cell_angle_beta 90.00
_cell_angle_gamma 90.00
loop_
_atom_site_label
_atom_site_type_symbol
_atom_site_fract_x
_atom_site_fract_y
_atom_site_fract_z
Sr1 Sr 0.000 0.000 0.000
Sr2 Sr 0.000 0.000 0.500
Ga1 Ga 0.500 0.500 0.152
Au1 Au 0.000 0.500 0.265
Au2 Au 0.500 0.500 0.500
```

DOS(E_F)	4.4	states/eV/f.u.
V	22.64	Å³ per atom
energy of formation	-0.54	eV/atom



(2)
DFT (PBE) results for crystalline MgTi2I at its relaxed geometry.

The structure in CIF format:
```
data_MgTi2I
_symmetry_space_group_name_H-M 'I -4 2 d'
_symmetry_Int_Tables_number 122
_symmetry_space_group_name_Hall 'I -4 2bw'
_cell_length_a 4.082
_cell_length_b 4.082
_cell_length_c 20.849
_cell_angle_alpha 90.00
_cell_angle_beta 90.00
_cell_angle_gamma 90.00
loop_
_atom_site_label
_atom_site_type_symbol
_atom_site_fract_x
_atom_site_fract_y
_atom_site_fract_z
Mg1 Mg 0.000 0.000 0.000
Ti1 Ti 0.250 0.250 0.125
I1 I 0.000 0.000 0.500
```

DOS(E_F)	5.1	states/eV/f.u.
ΔE_f (raw)	0.481	eV/atom
V	21.72	Å³ per atom



Summary of energy in eV/atom
-3.403 -4.253
(order as listed above)